# 1
Computed, not measured: a relaxed structure of Pm3NdGa2 at the PBE level of DFT.

a b c (Å): 5.150 9.699 6.703
angles (deg): 90.00 90.00 90.00
Fractional positions:
Pm: 0.000 0.054 0.000
Pm: 0.000 0.328 0.339
Pm: 0.000 0.672 0.839
Pm: 0.000 0.946 0.500
Pm: 0.500 0.170 0.702
Pm: 0.500 0.830 0.202
Nd: 0.500 0.447 0.042
Nd: 0.500 0.553 0.542
Ga: 0.000 0.351 0.809
Ga: 0.000 0.649 0.309
Ga: 0.500 0.148 0.232
Ga: 0.500 0.852 0.732

Computed properties:
- Volume: 27.90 A^3/atom
- N(E_F): 12.52 states/eV/cell
- ρ: 7.1 g/cm3
- E_form: -0.395 eV per atom



# 2
Computed, not measured: a relaxed structure of La2OsAu at the PBE level of DFT.

a b c (Å): 4.251 4.251 7.622
angles (deg): 106.13 106.13 60.00
Fractional positions:
La: 0.237 0.237 0.211
La: 0.763 0.763 0.789
Os: 0.500 0.500 0.000
Au: 0.000 0.000 0.500

Computed properties:
- Volume: 28.24 A^3/atom
- N(E_F): 2.66 states/eV/cell
- ρ: 9.8 g/cm3
- E_form: -0.310 eV per atom



# 3
Computed, not measured: a relaxed structure of PuPaOsPd at the PBE level of DFT.

a b c (Å): 4.015 5.995 5.995
angles (deg): 37.35 90.00 90.00
Fractional positions:
Pu: 0.000 0.000 0.000
Pa: 0.500 0.719 0.719
Os: 0.000 0.253 0.253
Pd: 0.500 0.441 0.441

Computed properties:
- Volume: 21.89 A^3/atom
- N(E_F): 12.18 states/eV/cell
- ρ: 14.6 g/cm3
- E_form: -0.338 eV per atom



# 4
Computed, not measured: a relaxed structure of ZrIr3 at the PBE level of DFT.

a b c (Å): 4.940 4.940 4.940
angles (deg): 90.00 90.00 90.00
Fractional positions:
Zr: 0.000 0.000 0.000
Ir: 0.000 0.000 0.500
Ir: 0.000 0.500 0.000
Ir: 0.500 0.000 0.000

Computed properties:
- Volume: 30.14 A^3/atom
- N(E_F): 8.05 states/eV/cell
- ρ: 9.2 g/cm3
- E_form: 2.356 eV per atom



# 5
Computed, not measured: a relaxed structure of TbSmInAu at the PBE level of DFT.

a b c (Å): 3.648 3.648 7.803
angles (deg): 90.00 90.00 90.00
Fractional positions:
Tb: 0.000 0.000 0.000
Sm: 0.000 0.000 0.463
In: 0.500 0.500 0.735
Au: 0.500 0.500 0.214

Computed properties:
- Volume: 25.96 A^3/atom
- N(E_F): 2.43 states/eV/cell
- ρ: 9.9 g/cm3
- E_form: -0.656 eV per atom



# 6
Computed, not measured: a relaxed structure of ZnMoCl2 at the PBE level of DFT.

a b c (Å): 3.221 3.221 9.403
angles (deg): 90.00 90.00 121.43
Fractional positions:
Zn: 0.000 0.000 0.000
Mo: 0.500 0.500 0.766
Cl: 0.000 0.000 0.573
Cl: 0.500 0.500 0.179

Computed properties:
- Volume: 20.81 A^3/atom
- N(E_F): 1.83 states/eV/cell
- Raw formation energy: -0.135 eV per atom
- ρ: 4.6 g/cm3



# 7
Computed, not measured: a relaxed structure of ZrCdOs2 at the PBE level of DFT.

a b c (Å): 2.840 3.775 6.834
angles (deg): 90.00 90.13 90.00
Fractional positions:
Zr: 0.000 0.000 0.000
Cd: 0.501 0.500 0.310
Os: 0.002 0.000 0.583
Os: 0.503 0.500 0.738

Computed properties:
- Volume: 18.32 A^3/atom
- N(E_F): 2.91 states/eV/cell
- ρ: 13.2 g/cm3
- E_form: 0.128 eV per atom



# 8
Computed, not measured: a relaxed structure of Be2TePbO8 at the PBE level of DFT.

a b c (Å): 4.840 4.840 7.123
angles (deg): 90.00 90.00 120.00
Fractional positions:
Be: 0.333 0.667 0.220
Be: 0.667 0.333 0.780
Te: 0.000 0.000 0.000
Pb: 0.000 0.000 0.500
O: 0.032 0.329 0.167
O: 0.297 0.968 0.167
O: 0.329 0.297 0.833
O: 0.333 0.667 0.456
O: 0.667 0.333 0.544
O: 0.671 0.703 0.167
O: 0.703 0.032 0.833
O: 0.968 0.671 0.833

Computed properties:
- Volume: 12.04 A^3/atom
- N(E_F): 5.31 states/eV/cell
- Raw formation energy: -0.996 eV per atom
- ρ: 5.5 g/cm3



What is the ρ in the third record?
14.6 g/cm3



Among the records above, which one has the lowest ρ?
ZnMoCl2